# TbNdTh2

An optimized crystal structure of TbNdTh2 (PBE, the Alexandria database).

Its formation energy is 1.03 eV/f.u. The calculation puts the density at 9.180 g/cm3.

The space group is C2/c (No. 15) and the conventional cell measures 8.8973, 17.8057 and 3.5472 Å, with angles of 90.00, 98.93 and 90.00 degrees. The asymmetric unit holds Tb at (0.0000, 0.0860, 0.2500), Nd at (0.2500, 0.2500, 0.5000) and Th at (0.1613, 0.4175, 0.0450).

# K3MgMn2Cl9

An optimized crystal structure of K3MgMn2Cl9 (PBE, the Alexandria database).

The calculation puts the uncorrected formation energy at -1.582 eV per atom. The calculation puts the density at 2.463 g/cm3.

The space group is P-3m1 (No. 164) and the conventional cell measures 7.1311, 7.1311 and 8.7343 Å, with angles of 90.00, 90.00 and 120.00 degrees. The asymmetric unit holds K at (0.0000, 0.0000, 0.0000), K at (0.3333, 0.6667, 0.6680), Mg at (0.0000, 0.0000, 0.5000), Mn at (0.3333, 0.6667, 0.1685), Cl at (0.0000, 0.5000, 0.0000) and Cl at (0.1661, 0.3323, 0.3342).

# CaLa12Nd3

An optimized crystal structure of CaLa12Nd3 (PBE, the Alexandria database).

Its formation energy is 0.29 eV/f.u. The calculation puts the density at 6.049 g/cm3.

The space group is P4/mmm (No. 123) and the conventional cell measures 5.2789, 5.2789 and 21.0780 Å, with angles of 90.00, 90.00 and 90.00 degrees. The asymmetric unit holds Ca at (0.0000, 0.0000, 0.0000), La at (0.0000, 0.5000, 0.1288), La at (0.0000, 0.5000, 0.3754), La at (0.5000, 0.5000, 0.0000), La at (0.5000, 0.5000, 0.2507), La at (0.5000, 0.5000, 0.5000), Nd at (0.0000, 0.0000, 0.2501) and Nd at (0.0000, 0.0000, 0.5000).

# MnHRu2

An optimized crystal structure of MnHRu2 (PBE, the Alexandria database).

As for the calculated total energy: -115.84 eV per cell. The calculation puts the density at 9.420 g/cm3.

The space group is Fm-3m (No. 225) and the conventional cell measures 5.6668, 5.6668 and 5.6668 Å, with angles of 90.00, 90.00 and 90.00 degrees. The asymmetric unit holds Mn at (0.0000, 0.0000, 0.0000), H at (0.0000, 0.0000, 0.5000) and Ru at (0.2500, 0.2500, 0.2500).

# MgScGaRu

An optimized crystal structure of MgScGaRu (PBE, the Alexandria database).

Its formation energy is -1.29 eV/f.u. The calculation puts the density at 5.904 g/cm3.

The space group is F-43m (No. 216) and the conventional cell measures 6.4639, 6.4639 and 6.4639 Å, with angles of 90.00, 90.00 and 90.00 degrees. The asymmetric unit holds Mg at (0.0000, 0.0000, 0.0000), Sc at (0.0000, 0.0000, 0.5000), Ga at (0.2500, 0.2500, 0.7500) and Ru at (0.2500, 0.2500, 0.2500).

# KIn3Sn4

An optimized crystal structure of KIn3Sn4 (PBE, the Alexandria database).

Its formation energy is -0.25 eV/f.u. The calculation puts the density at 5.591 g/cm3.

The space group is P4/mmm (No. 123) and the conventional cell measures 5.5897, 5.5897 and 8.1591 Å, with angles of 90.00, 90.00 and 90.00 degrees. The asymmetric unit holds K at (0.0000, 0.0000, 0.0000), In at (0.0000, 0.0000, 0.5000), In at (0.5000, 0.5000, 0.1776) and Sn at (0.0000, 0.5000, 0.3176).